Record 1
# TbCePm6Tm2

Crystalline TbCePm6Tm2 at its relaxed geometry (PBE, Alexandria).

The value obtained for the spin magnetization is 2.67 μB/cell. The uncorrected energy is -91.2 eV for the cell shown.

The structure belongs to space group C2/m (No. 12); the cell edges are 11.271, 6.995 and 8.829 Å and the angles 90.00°, 103.58° and 90.00°. The asymmetric unit holds Tb at (0.000, 0.000, 0.000), Ce at (0.000, 0.500, 0.500), Pm at (0.129, 0.500, 0.919), Pm at (0.171, 0.234, 0.299) and Tm at (0.091, 0.000, 0.663).

Record 2
# Tb6Ce2Pm3Tm

Crystalline Tb6Ce2Pm3Tm at its relaxed geometry (PBE, Alexandria).

The value obtained for the spin magnetization is 3.91 μB/cell. The uncorrected energy is -115.7 eV for the cell shown.

The structure belongs to space group C2/m (No. 12); the cell edges are 6.183, 10.708 and 11.811 Å and the angles 90.00°, 100.04° and 90.00°. The asymmetric unit holds Tb at (0.247, 0.000, 0.246), Tb at (0.249, 0.332, 0.246), Ce at (0.000, 0.166, 0.000), Pm at (0.000, 0.000, 0.500), Pm at (0.000, 0.334, 0.500) and Tm at (0.000, 0.500, 0.000).

Record 3
# TbCe2Pm3Tm6

Crystalline TbCe2Pm3Tm6 at its relaxed geometry (PBE, Alexandria).

The value obtained for the spin magnetization is 3.69 μB/cell. The uncorrected energy is -114.1 eV for the cell shown.

The structure belongs to space group C2/m (No. 12); the cell edges are 6.137, 10.625 and 11.639 Å and the angles 90.00°, 100.10° and 90.00°. The asymmetric unit holds Tb at (0.000, 0.000, 0.000), Ce at (0.000, 0.334, 0.000), Pm at (0.000, 0.166, 0.500), Pm at (0.000, 0.500, 0.500), Tm at (0.247, 0.500, 0.247) and Tm at (0.249, 0.332, 0.753).